# Tb2Tm5Th

A relaxed Tb2Tm5Th crystal (PBE, Alexandria via LeMat-Bulk).

Geometry as extended XYZ:
```
16
Lattice="7.030 0.000 0.000 0.000 14.093 0.000 0.000 0.000 4.982" Properties=species:S:1:pos:R:3 pbc="T T T"
Tb 1.741 1.744 0.000
Tb 1.774 8.790 0.000
Tb 5.256 5.303 0.000
Tb 5.289 12.349 0.000
Tm 0.000 7.046 2.491
Tm 0.023 3.513 2.491
Tm 1.712 12.355 0.000
Tm 1.803 5.308 0.000
Tm 3.492 10.559 2.491
Tm 3.515 0.000 2.491
Tm 3.539 3.534 2.491
Tm 5.228 8.785 0.000
Tm 5.318 1.738 0.000
Tm 7.007 10.580 2.491
Th 0.000 0.000 2.491
Th 3.515 7.046 2.491
```

Computed properties:
Spin magnetization = 0.0 μB/cell
Offset from the most stable computed form = 0.0143 eV per atom
Symmetry = No. 55
E = -77.65 eV/cell
Density of states at the Fermi level = 11.39 states/eV/f.u.
ΔH_f (0 K) = 26.4 meV per atom

# Tb6Tm4Th

A relaxed Tb6Tm4Th crystal (PBE, Alexandria via LeMat-Bulk).

Geometry as extended XYZ:
```
22
Lattice="2.848 -4.803 0.000 2.848 4.803 0.000 0.000 0.000 25.550" Properties=species:S:1:pos:R:3 pbc="T T T"
Tb 0.000 0.000 0.000
Tb 0.000 0.000 12.775
Tb 2.848 4.510 19.162
Tb 2.848 1.843 2.571
Tb 2.848 1.843 10.203
Tb 2.848 1.313 17.418
Tb 2.848 1.313 20.907
Tb 2.848 -1.313 4.643
Tb 2.848 -1.313 8.132
Tb 2.848 -1.843 15.346
Tb 2.848 -1.843 22.978
Tb 2.848 -4.510 6.387
Tm 2.848 4.497 15.905
Tm 2.848 4.497 22.420
Tm 2.848 1.503 13.845
Tm 2.848 1.503 24.480
Tm 2.848 -1.503 1.070
Tm 2.848 -1.503 11.705
Tm 2.848 -4.497 3.130
Tm 2.848 -4.497 9.645
Th 2.848 1.872 6.387
Th 2.848 -1.872 19.162
```

Computed properties:
Spin magnetization = 0.0 μB/cell
Offset from the most stable computed form = 0.0000 eV per atom
Symmetry = No. 63
E = -102.97 eV/cell
Density of states at the Fermi level = 20.53 states/eV/f.u.
ΔH_f (0 K) = 145.7 meV per atom

# Tb2Tm5Th

A relaxed Tb2Tm5Th crystal (PBE, Alexandria via LeMat-Bulk).

Geometry as extended XYZ:
```
8
Lattice="0.000 5.637 6.193 3.570 0.000 6.193 3.570 5.637 0.000" Properties=species:S:1:pos:R:3 pbc="T T T"
Tb 3.570 2.812 6.193
Tb 3.570 8.461 6.193
Tm 1.785 2.818 3.125
Tm 5.362 5.637 7.251
Tm 3.570 5.637 4.144
Tm 5.355 8.455 9.318
Tm 1.778 5.637 7.251
Th 3.570 5.637 10.355
```

Computed properties:
Spin magnetization = 0.0 μB/cell
Offset from the most stable computed form = 0.0000 eV per atom
Symmetry = No. 42
E = -38.94 eV/cell
Density of states at the Fermi level = 13.49 states/eV/f.u.
ΔH_f (0 K) = 12.1 meV per atom

# TbTm2Th

A relaxed TbTm2Th crystal (PBE, Alexandria via LeMat-Bulk).

Geometry as extended XYZ:
```
8
Lattice="3.468 0.000 0.000 0.000 5.673 0.000 -1.727 0.000 12.845" Properties=species:S:1:pos:R:3 pbc="T T T"
Tb 0.000 0.000 0.000
Tb -0.003 2.837 4.677
Tm 0.016 2.837 11.166
Tm 1.728 2.837 1.536
Tm 1.733 0.000 3.142
Tm 1.729 0.000 6.356
Th 0.003 0.000 9.311
Th 1.746 2.837 8.210
```

Computed properties:
Spin magnetization = 0.0 μB/cell
Offset from the most stable computed form = 0.0473 eV per atom
Symmetry = No. 6
E = -41.44 eV/cell
Density of states at the Fermi level = 6.72 states/eV/f.u.
ΔH_f (0 K) = 68.7 meV per atom